# 1
{"formula": "Ca2InSi2Rh5", "functional": "PBE-GGA", "state": "relaxed", "space_group": "P4/mbm, No. 127", "energy_ev_per_atom": -6.225, "formation_energy_uncorrected_ev_per_atom": -0.79, "lattice": [[3.3529, 0.0000, 0.0000], [0.0000, 10.0481, 0.0000], [0.0000, 0.0000, 10.0481]], "species": ["Rh", "Rh", "Rh", "Rh", "Rh", "Rh", "Rh", "Rh", "Rh", "Rh", "In", "In", "Si", "Si", "Si", "Si", "Ca", "Ca", "Ca", "Ca"], "fractional_positions": [[0.5000, 0.9308, 0.2167], [0.5000, 0.4308, 0.2833], [0.5000, 0.2833, 0.5692], [0.5000, 0.0692, 0.7833], [0.5000, 0.2167, 0.0692], [0.5000, 0.0000, 0.5000], [0.5000, 0.7167, 0.4308], [0.5000, 0.5692, 0.7167], [0.5000, 0.7833, 0.9308], [0.5000, 0.5000, 0.0000], [0.0000, 0.0000, 0.0000], [0.0000, 0.5000, 0.5000], [0.0000, 0.6241, 0.8759], [0.0000, 0.3759, 0.1241], [0.0000, 0.8759, 0.3759], [0.0000, 0.1241, 0.6241], [0.0000, 0.3256, 0.8256], [0.0000, 0.1744, 0.3256], [0.0000, 0.8256, 0.6744], [0.0000, 0.6744, 0.1744]]}

# 2
{"formula": "SrTlHg2", "functional": "PBE-GGA", "state": "relaxed", "space_group": "Pm, No. 6", "ef_ev_per_atom": -0.30, "energy_ev_per_atom": -1.463, "lattice": [[-0.4327, -3.8643, -2.6958], [1.1182, -2.3321, 3.1635], [-5.5560, -1.6658, 3.2796]], "species": ["Hg", "Hg", "Tl", "Sr"], "fractional_positions": [[0.5000, 0.0590, 0.2647], [0.0000, 0.1888, 0.9813], [0.5000, 0.7852, 0.8025], [0.0000, 0.4671, 0.4516]]}

# 3
{"formula": "CsK3N", "functional": "PBE-GGA", "state": "relaxed", "space_group": "Pm-3m, No. 221", "energy_ev_per_atom": -0.894, "formation_energy_uncorrected_ev_per_atom": 1.60, "lattice": [[7.8379, 0.0000, 0.0000], [0.0000, 7.8379, 0.0000], [0.0000, 0.0000, 7.8379]], "species": ["Cs", "N", "K", "K", "K"], "fractional_positions": [[0.0000, 0.0000, 0.0000], [0.5000, 0.5000, 0.5000], [0.0000, 0.0000, 0.5000], [0.5000, 0.0000, 0.0000], [0.0000, 0.5000, 0.0000]]}

# 4
{"formula": "MnNb8", "functional": "PBE-GGA", "state": "relaxed", "space_group": "I4/mmm, No. 139", "ef_ev_per_atom": -0.02, "energy_ev_per_atom": -9.987, "lattice": [[-1.9058, 2.5955, -0.5592], [-6.2796, -2.9117, -1.6644], [-2.7728, 1.4016, 6.4053]], "species": ["Nb", "Nb", "Nb", "Nb", "Nb", "Nb", "Nb", "Nb", "Mn"], "fractional_positions": [[0.0000, 0.6692, 0.3308], [0.0000, 0.3308, 0.6692], [0.6692, 0.3308, 0.3308], [0.3403, 0.3193, 0.0000], [0.3403, 0.0000, 0.3193], [0.3308, 0.6692, 0.6692], [0.6597, 0.0000, 0.6807], [0.6597, 0.6807, 0.0000], [0.0000, 0.0000, 0.0000]]}

# 5
{"formula": "Sr2ScIO6", "functional": "PBE-GGA", "state": "relaxed", "space_group": "R3, No. 146", "energy_ev_per_atom": -6.300, "formation_energy_uncorrected_ev_per_atom": -2.20, "lattice": [[-4.4379, -2.1054, -3.2432], [1.1116, -3.5791, -4.5387], [-1.4331, -5.6476, 0.2852]], "species": ["Sr", "Sr", "O", "O", "O", "O", "O", "O", "Sc", "I"], "fractional_positions": [[0.0655, 0.0658, 0.8030], [0.5659, 0.5657, 0.3027], [0.6345, 0.0678, 0.8009], [0.4965, 0.6347, 0.8011], [0.5662, 0.1356, 0.3004], [0.9979, 0.5654, 0.3012], [0.1358, 0.9975, 0.3008], [0.0670, 0.4968, 0.8017], [0.8161, 0.8161, 0.5517], [0.3161, 0.3162, 0.0516]]}

# 6
{"formula": "Na3Cd2Bi4", "functional": "PBE-GGA", "state": "relaxed", "space_group": "C2/m, No. 12", "ef_ev_per_atom": -0.18, "energy_ev_per_atom": -2.551, "lattice": [[4.7737, 0.0000, 0.0000], [-2.3868, 6.5631, 0.2000], [0.0000, -2.3340, 8.9745]], "species": ["Cd", "Cd", "Bi", "Bi", "Bi", "Bi", "Na", "Na", "Na"], "fractional_positions": [[0.2800, 0.5600, 0.6099], [0.7200, 0.4400, 0.3901], [0.6930, 0.3860, 0.0652], [0.0737, 0.1473, 0.3778], [0.9263, 0.8527, 0.6222], [0.3070, 0.6140, 0.9348], [0.3841, 0.7682, 0.3000], [0.0000, 0.0000, 0.0000], [0.6159, 0.2318, 0.7000]]}